NdGePt | PBE | relaxed

E, eV/cell: -17.2

Unit cell a=4.622 b=4.622 c=4.622 alpha=60.00 beta=60.00 gamma=60.00
Fractional coordinates of all 3 atoms:
Ge 0.000 0.000 0.000
Nd 0.250 0.250 0.250
Pt 0.750 0.750 0.750